a.
# AuSBrCl2 (PBE-GGA, optimized geometry)
# total moment: 0.00 μB/f.u.
# Fermi-level density of states: 1.094 states/eV per atom
data_AuSBrCl2
_cell_length_a 4.8692
_cell_length_b 4.8692
_cell_length_c 5.1304
_cell_angle_alpha 90.00
_cell_angle_beta 90.00
_cell_angle_gamma 90.00
_symmetry_space_group_name_H-M 'P 4/m m m'
_symmetry_Int_Tables_number 123
_symmetry_space_group_name_Hall '-P 4 2'
loop_
_atom_site_label
_atom_site_type_symbol
_atom_site_fract_x
_atom_site_fract_y
_atom_site_fract_z
Au1 Au 0.0000 0.0000 0.0000
S1 S 0.0000 0.0000 0.5000
Br1 Br 0.5000 0.5000 0.5000
Cl1 Cl 0.0000 0.5000 0.0000

b.
# AuSBrCl2 (PBE-GGA, optimized geometry)
# total moment: 0.00 μB/f.u.
# Fermi-level density of states: 1.052 states/eV per atom
data_AuSBrCl2
_cell_length_a 5.1645
_cell_length_b 5.1645
_cell_length_c 4.9071
_cell_angle_alpha 90.00
_cell_angle_beta 90.00
_cell_angle_gamma 90.00
_symmetry_space_group_name_H-M 'P 4/m m m'
_symmetry_Int_Tables_number 123
_symmetry_space_group_name_Hall '-P 4 2'
loop_
_atom_site_label
_atom_site_type_symbol
_atom_site_fract_x
_atom_site_fract_y
_atom_site_fract_z
Au1 Au 0.0000 0.0000 0.0000
S1 S 0.5000 0.5000 0.0000
Br1 Br 0.5000 0.5000 0.5000
Cl1 Cl 0.0000 0.5000 0.5000

It is a that is most stable; the runner-up trails by 390 meV/atom.

a.
# AuSe2BrCl (PBE-GGA, optimized geometry)
# total moment: 0.00 μB/f.u.
# Fermi-level density of states: 1.291 states/eV per atom
data_AuSe2BrCl
_cell_length_a 4.9914
_cell_length_b 4.9914
_cell_length_c 5.2084
_cell_angle_alpha 90.00
_cell_angle_beta 90.00
_cell_angle_gamma 90.00
_symmetry_space_group_name_H-M 'P 4/m m m'
_symmetry_Int_Tables_number 123
_symmetry_space_group_name_Hall '-P 4 2'
loop_
_atom_site_label
_atom_site_type_symbol
_atom_site_fract_x
_atom_site_fract_y
_atom_site_fract_z
Au1 Au 0.0000 0.0000 0.0000
Se1 Se 0.0000 0.5000 0.5000
Br1 Br 0.5000 0.5000 0.0000
Cl1 Cl 0.5000 0.5000 0.5000

b.
# AuSe2BrCl (PBE-GGA, optimized geometry)
# total moment: 3.25 μB/f.u.
# Fermi-level density of states: 0.793 states/eV per atom
data_AuSe2BrCl
_cell_length_a 5.2369
_cell_length_b 5.2369
_cell_length_c 5.2099
_cell_angle_alpha 90.00
_cell_angle_beta 90.00
_cell_angle_gamma 90.00
_symmetry_space_group_name_H-M 'P 4/m m m'
_symmetry_Int_Tables_number 123
_symmetry_space_group_name_Hall '-P 4 2'
loop_
_atom_site_label
_atom_site_type_symbol
_atom_site_fract_x
_atom_site_fract_y
_atom_site_fract_z
Au1 Au 0.0000 0.0000 0.0000
Se1 Se 0.0000 0.5000 0.0000
Br1 Br 0.0000 0.0000 0.5000
Cl1 Cl 0.5000 0.5000 0.5000

It is b that is most stable; the runner-up trails by 452 meV/atom.

a.
# CoAuBr (PBE-GGA, optimized geometry)
# total moment: 2.14 μB/f.u.
# Fermi-level density of states: 1.479 states/eV per atom
data_CoAuBr
_cell_length_a 6.2482
_cell_length_b 6.2482
_cell_length_c 6.2482
_cell_angle_alpha 90.00
_cell_angle_beta 90.00
_cell_angle_gamma 90.00
_symmetry_space_group_name_H-M 'F -4 3 m'
_symmetry_Int_Tables_number 216
_symmetry_space_group_name_Hall 'F -4 2 3'
loop_
_atom_site_label
_atom_site_type_symbol
_atom_site_fract_x
_atom_site_fract_y
_atom_site_fract_z
Co1 Co 0.0000 0.0000 0.0000
Au1 Au 0.2500 0.2500 0.2500
Br1 Br 0.2500 0.2500 0.7500

b.
# CoAuBr (PBE-GGA, optimized geometry)
# total moment: 2.14 μB/f.u.
# Fermi-level density of states: 1.406 states/eV per atom
data_CoAuBr
_cell_length_a 6.4819
_cell_length_b 6.4819
_cell_length_c 6.4819
_cell_angle_alpha 90.00
_cell_angle_beta 90.00
_cell_angle_gamma 90.00
_symmetry_space_group_name_H-M 'F -4 3 m'
_symmetry_Int_Tables_number 216
_symmetry_space_group_name_Hall 'F -4 2 3'
loop_
_atom_site_label
_atom_site_type_symbol
_atom_site_fract_x
_atom_site_fract_y
_atom_site_fract_z
Co1 Co 0.0000 0.0000 0.0000
Au1 Au 0.2500 0.2500 0.7500
Br1 Br 0.0000 0.0000 0.5000

It is a that is most stable; the runner-up trails by 299 meV/atom.

a.
# CoAuBr (PBE-GGA, optimized geometry)
# total moment: 2.11 μB/f.u.
# Fermi-level density of states: 1.923 states/eV per atom
data_CoAuBr
_cell_length_a 3.3620
_cell_length_b 3.3620
_cell_length_c 6.3244
_cell_angle_alpha 90.00
_cell_angle_beta 90.00
_cell_angle_gamma 120.00
_symmetry_space_group_name_H-M 'P 3 m 1'
_symmetry_Int_Tables_number 156
_symmetry_space_group_name_Hall 'P 3 -2"'
loop_
_atom_site_label
_atom_site_type_symbol
_atom_site_fract_x
_atom_site_fract_y
_atom_site_fract_z
Co1 Co 0.0000 0.0000 0.0000
Au1 Au 0.3333 0.6667 0.2779
Br1 Br 0.6667 0.3333 0.7624

b.
# CoAuBr (PBE-GGA, optimized geometry)
# total moment: 2.50 μB/f.u.
# Fermi-level density of states: 0.876 states/eV per atom
data_CoAuBr
_cell_length_a 3.0830
_cell_length_b 3.0830
_cell_length_c 13.0480
_cell_angle_alpha 90.00
_cell_angle_beta 90.00
_cell_angle_gamma 90.00
_symmetry_space_group_name_H-M 'I 4 m m'
_symmetry_Int_Tables_number 107
_symmetry_space_group_name_Hall 'I 4 -2'
loop_
_atom_site_label
_atom_site_type_symbol
_atom_site_fract_x
_atom_site_fract_y
_atom_site_fract_z
Co1 Co 0.0000 0.0000 0.0000
Au1 Au 0.0000 0.0000 0.3710
Br1 Br 0.0000 0.0000 0.6151

It is a that is most stable; the runner-up trails by 120 meV/atom.